No. 1
A relaxed structure of RbSc3Ag. Source: the Alexandria database, functional PBE-GGA.

Computed properties:
For the energy above the lowest structure with this stoichiometry, the calculation gives 977 meV/atom. As for the calculated formation energy: 1497.9 meV per atom. Its crystal system is cubic. Its volume is 127 Å³/cell.

Cell: 5.0271 5.0271 5.0271 Å, 90.00 90.00 90.00°
Space group Pm-3m (No. 221)
Inequivalent atoms, fractional coordinates:
1 Rb 0.0000 0.0000 0.0000 [1 per cell]
2 Sc 0.0000 0.0000 0.5000 [3 per cell]
3 Ag 0.5000 0.5000 0.5000 [1 per cell]

No. 2
A relaxed structure of Cs6V3Br14. Source: the Alexandria database, functional PBE-GGA.

Computed properties:
As for the uncorrected formation energy: -2955 kJ/mol of formula units. Its crystal system is trigonal. Its volume is 1007 Å³/cell.

Cell: 13.0484 13.0484 6.8264 Å, 90.00 90.00 120.00°
Space group P3 (No. 143)
Inequivalent atoms, fractional coordinates:
1 Cs 0.0179 0.4535 0.0000 [3 per cell]
2 Cs 0.3138 0.2145 0.4750 [3 per cell]
3 V 0.0000 0.0000 0.0409 [1 per cell]
4 V 0.3333 0.6667 0.5619 [1 per cell]
5 V 0.6667 0.3333 0.7299 [1 per cell]
6 Br 0.0000 0.0000 0.6870 [1 per cell]
7 Br 0.0679 0.1995 0.1579 [3 per cell]
8 Br 0.2036 0.7368 0.6758 [3 per cell]
9 Br 0.3333 0.6667 0.2081 [1 per cell]
10 Br 0.4745 0.2682 0.9445 [3 per cell]
11 Br 0.5386 0.1409 0.5165 [3 per cell]

No. 3
A relaxed structure of Y3GaIr3. Source: the Alexandria database, functional PBE-GGA.

Computed properties:
As for the calculated formation energy: -837.4 meV per atom. Its crystal system is orthorhombic. Its volume is 589 Å³/cell.

Cell: 4.1559 10.2902 13.7677 Å, 90.00 90.00 90.00°
Space group Cmcm (No. 63)
Inequivalent atoms, fractional coordinates:
1 Y 0.0000 0.0141 0.2500 [4 per cell]
2 Y 0.0000 0.2959 0.1058 [8 per cell]
3 Ga 0.0000 0.0000 0.0000 [4 per cell]
4 Ir 0.0000 0.2693 0.7500 [4 per cell]
5 Ir 0.0000 0.4137 0.5888 [8 per cell]